Model w:
First-principles (PBEsol) data for a relaxed LiSb crystal, as listed in Alexandria.

The structure belongs to space group F-43m (No. 216); the cell edges are 6.035, 6.035 and 6.035 Å and the angles 90.00°, 90.00° and 90.00°. The inequivalent atoms are Li at (0.000, 0.000, 0.000) and Sb at (0.250, 0.250, 0.250).

For the total magnetization, the calculation gives 0.00 μB per cell.



Model x:
First-principles (PBEsol) data for a relaxed LiSb crystal, as listed in Alexandria.

The structure belongs to space group Cm (No. 8); the cell edges are 10.555, 3.177 and 8.631 Å and the angles 90.00°, 116.10° and 90.00°. The inequivalent atoms are Li at (0.000, 0.000, 0.000), Li at (0.104, 0.500, 0.692), Li at (0.274, 0.500, 0.328), Sb at (0.057, 0.000, 0.365), Sb at (0.274, 0.000, 0.017) and Sb at (0.332, 0.000, 0.675).

For the total magnetization, the calculation gives 0.00 μB per cell.



Relative energies, in eV/atom, with the most stable structure set to zero: model w 0.770; model x 0.000.



Model w:
First-principles (PBEsol) data for a relaxed Li2Sb crystal, as listed in Alexandria.

The structure belongs to space group Cmc2_1 (No. 36); the cell edges are 3.194, 9.194 and 7.835 Å and the angles 90.00°, 90.00° and 90.00°. The inequivalent atoms are Li at (0.000, 0.090, 0.000), Li at (0.000, 0.356, 0.178) and Sb at (0.000, 0.368, 0.820).

For the total magnetization, the calculation gives 0.00 μB per cell.



Model x:
First-principles (PBEsol) data for a relaxed Li2Sb crystal, as listed in Alexandria.

The structure belongs to space group P-62m (No. 189); the cell edges are 7.8650, 7.8650 and 3.2057 Å and the angles 90.00°, 90.00° and 120.00°. The inequivalent atoms are Li at (0.0000, 0.3676, 0.0000), Li at (0.0000, 0.7071, 0.5000), Sb at (0.0000, 0.0000, 0.0000) and Sb at (0.3333, 0.6667, 0.5000).

For the total magnetization, the calculation gives 0.00 μB per cell.



Model y:
First-principles (PBEsol) data for a relaxed Li2Sb crystal, as listed in Alexandria.

The structure belongs to space group Immm (No. 71); the cell edges are 3.164, 4.309 and 8.276 Å and the angles 90.00°, 90.00° and 90.00°. The inequivalent atoms are Li at (0.000, 0.000, 0.161) and Sb at (0.000, 0.000, 0.500).

For the total magnetization, the calculation gives 0.00 μB per cell.



Relative energies, in eV/atom, with the most stable structure set to zero: model w 0.028; model x 0.000; model y 0.018.



Model w:
First-principles (PBEsol) data for a relaxed Li2SbSe crystal, as listed in Alexandria.

The structure belongs to space group Immm (No. 71); the cell edges are 3.598, 5.019 and 8.505 Å and the angles 90.00°, 90.00° and 90.00°. The inequivalent atoms are Li at (0.000, 0.000, 0.220), Sb at (0.000, 0.500, 0.000) and Se at (0.000, 0.500, 0.500).

For the total magnetization, the calculation gives 0.00 μB per cell.



Model x:
First-principles (PBEsol) data for a relaxed Li2SbSe crystal, as listed in Alexandria.

The structure belongs to space group F-43m (No. 216); the cell edges are 6.924, 6.924 and 6.924 Å and the angles 90.00°, 90.00° and 90.00°. The inequivalent atoms are Li at (0.000, 0.000, 0.000), Li at (0.250, 0.250, 0.250), Sb at (0.250, 0.250, 0.750) and Se at (0.000, 0.000, 0.500).

For the total magnetization, the calculation gives 0.00 μB per cell.



Relative energies, in eV/atom, with the most stable structure set to zero: model w 0.000; model x 0.361.



Model w:
First-principles (PBEsol) data for a relaxed LiSiSb2Te crystal, as listed in Alexandria.

The structure belongs to space group P4/mmm (No. 123); the cell edges are 5.163, 5.163 and 5.417 Å and the angles 90.00°, 90.00° and 90.00°. The inequivalent atoms are Li at (0.000, 0.000, 0.000), Si at (0.500, 0.500, 0.500), Sb at (0.000, 0.500, 0.500) and Te at (0.500, 0.500, 0.000).

For the total magnetization, the calculation gives 0.00 μB per cell.



Model x:
First-principles (PBEsol) data for a relaxed LiSiSb2Te crystal, as listed in Alexandria.

The structure belongs to space group P4/mmm (No. 123); the cell edges are 4.827, 4.827 and 5.105 Å and the angles 90.00°, 90.00° and 90.00°. The inequivalent atoms are Li at (0.000, 0.000, 0.000), Si at (0.500, 0.500, 0.500), Sb at (0.000, 0.500, 0.000) and Te at (0.000, 0.000, 0.500).

For the total magnetization, the calculation gives 0.00 μB per cell.



Relative energies, in eV/atom, with the most stable structure set to zero: model w 0.000; model x 0.216.



Model w:
First-principles (PBEsol) data for a relaxed LiTlSb2 crystal, as listed in Alexandria.

The structure belongs to space group R-3m (No. 166, hexagonal axes); the cell edges are 3.3096, 3.3096 and 31.4567 Å and the angles 90.00°, 90.00° and 120.00°. The inequivalent atoms are Li at (0.0000, 0.0000, 0.0000), Tl at (0.0000, 0.0000, 0.5000) and Sb at (0.0000, 0.0000, 0.2610).

For the total magnetization, the calculation gives 0.00 μB per cell.



Model x:
First-principles (PBEsol) data for a relaxed LiTlSb2 crystal, as listed in Alexandria.

The structure belongs to space group P4/mmm (No. 123); the cell edges are 4.522, 4.522 and 4.922 Å and the angles 90.00°, 90.00° and 90.00°. The inequivalent atoms are Li at (0.000, 0.000, 0.000), Tl at (0.500, 0.500, 0.000) and Sb at (0.000, 0.500, 0.500).

For the total magnetization, the calculation gives 0.00 μB per cell.



Model y:
First-principles (PBEsol) data for a relaxed LiTlSb2 crystal, as listed in Alexandria.

The structure belongs to space group C2/m (No. 12); the cell edges are 9.518, 3.985 and 5.854 Å and the angles 90.00°, 105.31° and 90.00°. The inequivalent atoms are Li at (0.000, 0.000, 0.000), Tl at (0.000, 0.500, 0.500) and Sb at (0.246, 0.500, 0.182).

For the total magnetization, the calculation gives 0.00 μB per cell.



Model z:
First-principles (PBEsol) data for a relaxed LiTlSb2 crystal, as listed in Alexandria.

The structure belongs to space group Pmm2 (No. 25); the cell edges are 3.330, 5.553 and 5.543 Å and the angles 90.00°, 90.00° and 90.00°. The inequivalent atoms are Li at (0.000, 0.000, 0.000), Tl at (0.000, 0.500, 0.699), Sb at (0.500, 0.000, 0.469) and Sb at (0.500, 0.500, 0.202).

For the total magnetization, the calculation gives 0.00 μB per cell.



Relative energies, in eV/atom, with the most stable structure set to zero: model w 0.051; model x 0.026; model y 0.000; model z 0.070.



Model w:
First-principles (PBEsol) data for a relaxed LiTlSb2 crystal, as listed in Alexandria.

The structure belongs to space group F-43m (No. 216); the cell edges are 7.402, 7.402 and 7.402 Å and the angles 90.00°, 90.00° and 90.00°. The inequivalent atoms are Li at (0.000, 0.000, 0.000), Tl at (0.250, 0.250, 0.250), Sb at (0.000, 0.000, 0.500) and Sb at (0.250, 0.250, 0.750).

For the total magnetization, the calculation gives 0.00 μB per cell.



Model x:
First-principles (PBEsol) data for a relaxed LiTlSb2 crystal, as listed in Alexandria.

The structure belongs to space group Pmmm (No. 47); the cell edges are 3.203, 4.409 and 7.237 Å and the angles 90.00°, 90.00° and 90.00°. The inequivalent atoms are Li at (0.000, 0.000, 0.000), Tl at (0.000, 0.000, 0.500) and Sb at (0.500, 0.500, 0.201).

For the total magnetization, the calculation gives 0.00 μB per cell.



Relative energies, in eV/atom, with the most stable structure set to zero: model w 0.172; model x 0.000.



Model w:
First-principles (PBEsol) data for a relaxed LiSbW crystal, as listed in Alexandria.

The structure belongs to space group F-43m (No. 216); the cell edges are 6.231, 6.231 and 6.231 Å and the angles 90.00°, 90.00° and 90.00°. The inequivalent atoms are Li at (0.000, 0.000, 0.000), Sb at (0.250, 0.250, 0.750) and W at (0.000, 0.000, 0.500).

For the total magnetization, the calculation gives 5.72 μB per cell.



Model x:
First-principles (PBEsol) data for a relaxed LiSbW crystal, as listed in Alexandria.

The structure belongs to space group Fmm2 (No. 42); the cell edges are 3.422, 4.701 and 13.914 Å and the angles 90.00°, 90.00° and 90.00°. The inequivalent atoms are Li at (0.000, 0.000, 0.000), Sb at (0.000, 0.000, 0.689) and W at (0.000, 0.000, 0.345).

For the total magnetization, the calculation gives 0.00 μB per cell.



Relative energies, in eV/atom, with the most stable structure set to zero: model w 0.254; model x 0.000.



Model w:
First-principles (PBEsol) data for a relaxed LiZrSb2 crystal, as listed in Alexandria.

The structure belongs to space group I4/mmm (No. 139); the cell edges are 4.537, 4.537 and 8.253 Å and the angles 90.00°, 90.00° and 90.00°. The inequivalent atoms are Li at (0.000, 0.000, 0.000), Zr at (0.000, 0.000, 0.500) and Sb at (0.000, 0.500, 0.250).

For the total magnetization, the calculation gives 0.00 μB per cell.



Model x:
First-principles (PBEsol) data for a relaxed LiZrSb2 crystal, as listed in Alexandria.

The structure belongs to space group Pm (No. 6); the cell edges are 3.175, 4.982 and 5.739 Å and the angles 90.00°, 105.82° and 90.00°. The inequivalent atoms are Li at (0.000, 0.000, 0.000), Zr at (0.830, 0.500, 0.640), Sb at (0.270, 0.000, 0.518) and Sb at (0.550, 0.500, 0.093).

For the total magnetization, the calculation gives 0.00 μB per cell.



Relative energies, in eV/atom, with the most stable structure set to zero: model w 0.090; model x 0.000.